[1]
# PBE Tb7NdDy5, optimized geometry
data_Tb7NdDy5
_chemical_formula_sum 'Tb14 Nd2 Dy10'
_cell_length_a 6.681
_cell_length_b 11.145
_cell_length_c 11.597
_cell_angle_alpha 90.00
_cell_angle_beta 90.00
_cell_angle_gamma 90.00
_symmetry_space_group_name_H-M 'I m m 2'
_symmetry_Int_Tables_number 44
loop_
_symmetry_equiv_pos_as_xyz
'x,y,z'
'-x,-y,z'
'-x,y,z'
'x,-y,z'
'x+1/2,y+1/2,z+1/2'
'-x+1/2,-y+1/2,z+1/2'
'-x+1/2,y+1/2,z+1/2'
'x+1/2,-y+1/2,z+1/2'
loop_
_atom_site_label
_atom_site_type_symbol
_atom_site_fract_x
_atom_site_fract_y
_atom_site_fract_z
Tb1 Tb 0.000 0.000 0.000
Tb2 Tb 0.000 0.000 0.305
Tb3 Tb 0.000 0.330 0.248
Tb4 Tb 0.000 0.330 0.748
Tb5 Tb 0.000 0.500 0.499
Nd1 Nd 0.000 0.000 0.696
Dy1 Dy 0.000 0.500 0.995
Dy2 Dy 0.234 0.230 0.497
# Energy of formation in eV per atom: 0.244
# Crystal system: orthorhombic
# E_tot in eV/atom: -4.386

***

[2]
# PBE TbNdDy5, optimized geometry
data_TbNdDy5
_chemical_formula_sum 'Tb2 Nd2 Dy10'
_cell_length_a 5.776
_cell_length_b 8.628
_cell_length_c 11.908
_cell_angle_alpha 90.00
_cell_angle_beta 90.00
_cell_angle_gamma 90.00
_symmetry_space_group_name_H-M 'I m m m'
_symmetry_Int_Tables_number 71
_symmetry_space_group_name_Hall '-I 2 2'
loop_
_atom_site_label
_atom_site_type_symbol
_atom_site_fract_x
_atom_site_fract_y
_atom_site_fract_z
Tb1 Tb 0.000 0.000 0.000
Nd1 Nd 0.000 0.000 0.500
Dy1 Dy 0.000 0.000 0.255
Dy2 Dy 0.000 0.322 0.500
Dy3 Dy 0.000 0.500 0.000
# Energy of formation in eV per atom: 1.086
# Crystal system: orthorhombic
# E_tot in eV/atom: -3.544
# Relative energy among the computed polymorphs in eV/atom: 0.895

***

[3]
# PBE Tb4NdDy, optimized geometry
data_Tb4NdDy
_chemical_formula_sum 'Tb16 Nd4 Dy4'
_cell_length_a 9.345
_cell_length_b 9.345
_cell_length_c 9.345
_cell_angle_alpha 90.00
_cell_angle_beta 90.00
_cell_angle_gamma 90.00
_symmetry_space_group_name_H-M 'F -4 3 m'
_symmetry_Int_Tables_number 216
_symmetry_space_group_name_Hall 'F -4 2 3'
loop_
_atom_site_label
_atom_site_type_symbol
_atom_site_fract_x
_atom_site_fract_y
_atom_site_fract_z
Tb1 Tb 0.125 0.125 0.125
Nd1 Nd 0.250 0.250 0.750
Dy1 Dy 0.000 0.000 0.500
# Energy of formation in eV per atom: 0.271
# Crystal system: cubic
# E_tot in eV/atom: -4.377
# Relative energy among the computed polymorphs in eV/atom: 0.254

***

[4]
# PBE TbNd8Dy4, optimized geometry
data_TbNd8Dy4
_chemical_formula_sum 'Tb3 Nd24 Dy12'
_cell_length_a 7.3268
_cell_length_b 7.3268
_cell_length_c 28.7717
_cell_angle_alpha 90.00
_cell_angle_beta 90.00
_cell_angle_gamma 120.00
_symmetry_space_group_name_H-M 'R -3 m'
_symmetry_Int_Tables_number 166
_symmetry_space_group_name_Hall '-R 3 2"'
loop_
_atom_site_label
_atom_site_type_symbol
_atom_site_fract_x
_atom_site_fract_y
_atom_site_fract_z
Tb1 Tb 0.0000 0.0000 0.0000
Nd1 Nd 0.0000 0.0000 0.2873
Nd2 Nd 0.0320 0.5160 0.2643
Dy1 Dy 0.0000 0.0000 0.5000
Dy2 Dy 0.0000 0.5000 0.5000
# Energy of formation in eV per atom: 0.188
# Crystal system: trigonal
# E_tot in eV/atom: -4.519

***

[5]
# PBE Tb2Nd5Dy, optimized geometry
data_Tb2Nd5Dy
_chemical_formula_sum 'Tb8 Nd20 Dy4'
_cell_length_a 14.648
_cell_length_b 12.163
_cell_length_c 6.738
_cell_angle_alpha 90.00
_cell_angle_beta 113.90
_cell_angle_gamma 90.00
_symmetry_space_group_name_H-M 'C 1 2/c 1'
_symmetry_Int_Tables_number 15
loop_
_symmetry_equiv_pos_as_xyz
'x,y,z'
'-x,-y,-z'
'-x,y,-z+1/2'
'x,-y,z+1/2'
'x+1/2,y+1/2,z'
'-x+1/2,-y+1/2,-z'
'-x+1/2,y+1/2,-z+1/2'
'x+1/2,-y+1/2,z+1/2'
loop_
_atom_site_label
_atom_site_type_symbol
_atom_site_fract_x
_atom_site_fract_y
_atom_site_fract_z
Tb1 Tb 0.000 0.000 0.000
Tb2 Tb 0.250 0.250 0.000
Nd1 Nd 0.000 0.242 0.750
Nd2 Nd 0.127 0.239 0.386
Nd3 Nd 0.238 0.488 0.710
Dy1 Dy 0.000 0.489 0.250
# Energy of formation in eV per atom: 0.209
# Crystal system: monoclinic
# E_tot in eV/atom: -4.503
# Relative energy among the computed polymorphs in eV/atom: 0.194

***

[6]
# PBE Tb9NdDy2, optimized geometry
data_Tb9NdDy2
_chemical_formula_sum 'Tb9 Nd1 Dy2'
_cell_length_a 11.2800
_cell_length_b 11.2800
_cell_length_c 3.5161
_cell_angle_alpha 90.00
_cell_angle_beta 90.00
_cell_angle_gamma 120.00
_symmetry_space_group_name_H-M 'P 6/m m m'
_symmetry_Int_Tables_number 191
_symmetry_space_group_name_Hall '-P 6 2'
loop_
_atom_site_label
_atom_site_type_symbol
_atom_site_fract_x
_atom_site_fract_y
_atom_site_fract_z
Tb1 Tb 0.0000 0.5000 0.0000
Tb2 Tb 0.1773 0.3547 0.5000
Nd1 Nd 0.0000 0.0000 0.0000
Dy1 Dy 0.3333 0.6667 0.0000
# Energy of formation in eV per atom: 0.039
# Crystal system: hexagonal
# E_tot in eV/atom: -4.598
# Relative energy among the computed polymorphs in eV/atom: 0.019